No. 1
! KCdMoPb2, optimized geometry, DFT PBE; values from VASP
! **Volume**: 161.1 Å³/f.u.
! **DOS at the Fermi energy**: 2.774 states/eV/f.u.
! **Total DFT energy (no corrections)**: -3.80 eV/atom
! **Energy of formation**: 0.26 eV per atom
&SYSTEM
  ibrav = 0, nat = 5, ntyp = 4
/
ATOMIC_SPECIES
Pb 207.20 Pb.upf
Cd 112.41 Cd.upf
K 39.10 K.upf
Mo 95.94 Mo.upf
CELL_PARAMETERS angstrom
-2.6494 -1.1175 -4.5705
-1.0992 -5.0774 1.8786
-4.5808 1.8104 2.2128
ATOMIC_POSITIONS crystal
Pb 0.0000 0.0000 0.5000
Pb 0.5000 0.0000 0.0000
Cd 0.0000 0.5000 0.0000
K 0.5000 0.5000 0.5000
Mo 0.0000 0.0000 0.0000

---

No. 2
! InGa2Hg3, optimized geometry, DFT PBE; values from VASP
! **Volume**: 146.6 Å³/f.u.
! **DOS at the Fermi energy**: 1.363 states/eV/f.u.
! **Total DFT energy (no corrections)**: -1.55 eV/atom
! **Energy of formation**: 0.06 eV per atom
&SYSTEM
  ibrav = 0, nat = 12, ntyp = 3
/
ATOMIC_SPECIES
Ga 69.72 Ga.upf
Hg 200.59 Hg.upf
In 114.82 In.upf
CELL_PARAMETERS angstrom
-5.0435 2.1141 -0.6721
-1.4001 -5.3982 -6.4735
-1.3312 -0.4973 8.4254
ATOMIC_POSITIONS crystal
Ga 0.5000 0.2024 0.2024
Hg 0.2500 0.0746 0.4173
In 0.2500 0.6330 0.3670
Hg 0.7500 0.4173 0.0746
Ga 0.0000 0.2024 0.2024
Hg 0.7500 0.8342 0.1658
Hg 0.2500 0.5827 0.9254
In 0.7500 0.3670 0.6330
Ga 0.5000 0.7976 0.7976
Ga 0.0000 0.7976 0.7976
Hg 0.2500 0.1658 0.8342
Hg 0.7500 0.9254 0.5827